# PBE-GGA CuAsSe3, optimized geometry
# Total magnetic moment: 0.000 Bohr magnetons per cell
# Formation energy (no corrections): 0.56 eV per atom
data_CuAsSe3
_cell_length_a 4.7484
_cell_length_b 4.7484
_cell_length_c 4.7484
_cell_angle_alpha 90.00
_cell_angle_beta 90.00
_cell_angle_gamma 90.00
_symmetry_space_group_name_H-M 'P m -3 m'
_symmetry_Int_Tables_number 221
_symmetry_space_group_name_Hall '-P 4 2 3'
loop_
_atom_site_label
_atom_site_type_symbol
_atom_site_fract_x
_atom_site_fract_y
_atom_site_fract_z
Cu1 Cu 0.0000 0.0000 0.0000
As1 As 0.5000 0.5000 0.5000
Se1 Se 0.0000 0.0000 0.5000